# Ga3BrCl

A relaxed Ga3BrCl crystal (PBE, Alexandria).

Cell lengths 5.749, 5.749, 5.749 Å; angles 90.00, 90.00, 90.00 degrees
Fractional positions:
Cl 0.500 0.500 0.500
Ga 0.000 0.000 0.500
Ga 0.500 0.000 0.000
Ga 0.000 0.500 0.000
Br 0.000 0.000 0.000

Summary:
Crystal system ... cubic
Uncorrected energy ... -12.11 eV per formula unit
ΔE_f (raw) ... 9 kJ/mol of atoms


# Ga2BrCl2

A relaxed Ga2BrCl2 crystal (PBE, Alexandria).

Cell lengths 8.188, 8.188, 4.039 Å; angles 90.00, 90.00, 90.00 degrees
Fractional positions:
Br 0.500 0.500 0.000
Br 0.000 0.000 0.000
Cl 0.360 0.140 0.500
Cl 0.140 0.640 0.500
Cl 0.640 0.860 0.500
Cl 0.860 0.360 0.500
Ga 0.275 0.775 0.000
Ga 0.725 0.225 0.000
Ga 0.225 0.275 0.000
Ga 0.775 0.725 0.000

Summary:
Crystal system ... tetragonal
Uncorrected energy ... -14.21 eV per formula unit
ΔE_f (raw) ... -54 kJ/mol of atoms


# GaBrCl2

A relaxed GaBrCl2 crystal (PBE, Alexandria).

Cell lengths 7.396, 7.396, 7.173 Å; angles 58.97, 58.97, 90.00 degrees
Fractional positions:
Br 0.000 0.000 0.000
Br 0.750 0.250 0.500
Cl 0.875 0.725 0.750
Cl 0.275 0.625 0.250
Cl 0.375 0.525 0.750
Cl 0.475 0.125 0.250
Ga 0.500 0.500 0.000
Ga 0.250 0.750 0.500

Summary:
Crystal system ... tetragonal
Uncorrected energy ... -9.94 eV per formula unit
ΔE_f (raw) ... -37 kJ/mol of atoms


# Ga2Br3Cl

A relaxed Ga2Br3Cl crystal (PBE, Alexandria).

Cell lengths 17.081, 10.124, 6.756 Å; angles 90.00, 130.45, 90.00 degrees
Fractional positions:
Br 0.642 0.447 0.791
Br 0.259 0.900 0.958
Br 0.142 0.053 0.291
Br 0.759 0.600 0.458
Br 0.107 0.309 0.822
Br 0.858 0.947 0.709
Br 0.393 0.809 0.678
Br 0.741 0.100 0.042
Br 0.893 0.691 0.178
Br 0.358 0.553 0.209
Br 0.607 0.191 0.322
Br 0.241 0.400 0.542
Ga 0.351 0.091 0.784
Ga 0.649 0.909 0.216
Ga 0.605 0.221 0.668
Ga 0.395 0.779 0.332
Ga 0.105 0.279 0.168
Ga 0.895 0.721 0.832
Ga 0.149 0.591 0.716
Ga 0.851 0.409 0.284
Cl 0.953 0.331 0.034
Cl 0.547 0.831 0.466
Cl 0.453 0.169 0.534
Cl 0.047 0.669 0.966

Summary:
Crystal system ... monoclinic
Uncorrected energy ... -17.80 eV per formula unit
ΔE_f (raw) ... -79 kJ/mol of atoms


# Ga3Br3Cl2

A relaxed Ga3Br3Cl2 crystal (PBE, Alexandria).

Cell lengths 3.889, 4.949, 30.662 Å; angles 99.07, 66.34, 113.14 degrees
Fractional positions:
Br 0.932 0.222 0.644
Br 0.290 0.222 0.856
Br 0.688 0.375 0.250
Br 0.068 0.778 0.356
Br 0.312 0.625 0.750
Br 0.710 0.778 0.144
Ga 0.389 0.779 0.250
Ga 0.652 0.225 0.577
Ga 0.573 0.225 0.923
Ga 0.427 0.775 0.077
Ga 0.348 0.775 0.423
Ga 0.611 0.221 0.750
Cl 0.280 0.278 0.447
Cl 0.001 0.722 0.947
Cl 0.999 0.278 0.053
Cl 0.720 0.722 0.553

Summary:
Crystal system ... monoclinic
Uncorrected energy ... -22.27 eV per formula unit
ΔE_f (raw) ... -54 kJ/mol of atoms


# GaBrCl2

A relaxed GaBrCl2 crystal (PBE, Alexandria).

Cell lengths 5.186, 5.186, 5.186 Å; angles 60.00, 60.00, 60.00 degrees
Fractional positions:
Ga 0.000 0.000 0.000
Cl 0.750 0.750 0.750
Cl 0.250 0.250 0.250
Br 0.500 0.500 0.500

Summary:
Crystal system ... cubic
Uncorrected energy ... -8.13 eV per formula unit
ΔE_f (raw) ... 6 kJ/mol of atoms


# Ga2BrCl2

A relaxed Ga2BrCl2 crystal (PBE, Alexandria).

Cell lengths 7.822, 8.924, 6.261 Å; angles 76.64, 90.03, 116.02 degrees
Fractional positions:
Ga 0.327 0.919 0.087
Ga 0.592 0.919 0.588
Ga 0.673 0.081 0.913
Ga 0.408 0.081 0.412
Cl 0.494 0.646 0.715
Cl 0.152 0.647 0.215
Cl 0.506 0.354 0.285
Cl 0.848 0.353 0.785
Br 0.170 0.000 0.750
Br 0.830 0.000 0.250

Summary:
Crystal system ... monoclinic
Uncorrected energy ... -15.04 eV per formula unit
ΔE_f (raw) ... -70 kJ/mol of atoms


# GaBr3Cl

A relaxed GaBr3Cl crystal (PBE, Alexandria).

Cell lengths 5.391, 5.391, 5.391 Å; angles 90.00, 90.00, 90.00 degrees
Fractional positions:
Br 0.000 0.500 0.000
Br 0.000 0.000 0.500
Br 0.500 0.000 0.000
Ga 0.500 0.500 0.500
Cl 0.000 0.000 0.000

Summary:
Crystal system ... cubic
Uncorrected energy ... -9.47 eV per formula unit
ΔE_f (raw) ... 8 kJ/mol of atoms


# Ga3BrCl

A relaxed Ga3BrCl crystal (PBE, Alexandria).

Cell lengths 5.527, 5.527, 5.527 Å; angles 90.00, 90.00, 90.00 degrees
Fractional positions:
Ga 0.500 0.000 0.000
Ga 0.000 0.500 0.000
Ga 0.000 0.000 0.500
Br 0.500 0.500 0.500
Cl 0.000 0.000 0.000

Summary:
Crystal system ... cubic
Uncorrected energy ... -12.76 eV per formula unit
ΔE_f (raw) ... -3 kJ/mol of atoms


# Ga2Br2Cl

A relaxed Ga2Br2Cl crystal (PBE, Alexandria).

Cell lengths 7.954, 7.954, 4.160 Å; angles 90.00, 90.00, 90.00 degrees
Fractional positions:
Ga 0.303 0.803 0.000
Ga 0.197 0.303 0.000
Ga 0.697 0.197 0.000
Ga 0.803 0.697 0.000
Br 0.646 0.854 0.500
Br 0.146 0.646 0.500
Br 0.854 0.354 0.500
Br 0.354 0.146 0.500
Cl 0.000 0.000 0.000
Cl 0.500 0.500 0.000

Summary:
Crystal system ... tetragonal
Uncorrected energy ... -13.62 eV per formula unit
ΔE_f (raw) ... -46 kJ/mol of atoms


# Ga2BrCl8

A relaxed Ga2BrCl8 crystal (PBE, Alexandria).

Cell lengths 7.562, 7.997, 7.562 Å; angles 94.59, 118.04, 85.41 degrees
Fractional positions:
Cl 0.628 0.242 0.372
Cl 0.094 0.188 0.336
Cl 0.801 0.582 0.199
Cl 0.664 0.188 0.906
Cl 0.906 0.812 0.664
Cl 0.199 0.418 0.801
Cl 0.372 0.758 0.628
Cl 0.336 0.812 0.094
Ga 0.218 0.683 0.782
Ga 0.782 0.317 0.218
Br 0.000 0.000 0.000

Summary:
Crystal system ... monoclinic
Uncorrected energy ... -30.34 eV per formula unit
ΔE_f (raw) ... -69 kJ/mol of atoms


# GaBrCl2

A relaxed GaBrCl2 crystal (PBE, Alexandria).

Cell lengths 10.461, 10.461, 10.461 Å; angles 20.30, 20.30, 20.30 degrees
Fractional positions:
Br 0.500 0.500 0.500
Cl 0.931 0.931 0.931
Cl 0.069 0.069 0.069
Ga 0.000 0.000 0.000

Summary:
Crystal system ... trigonal
Uncorrected energy ... -8.62 eV per formula unit
ΔE_f (raw) ... -5 kJ/mol of atoms


# Ga3Br3Cl

A relaxed Ga3Br3Cl crystal (PBE, Alexandria).

Cell lengths 7.176, 10.517, 7.412 Å; angles 102.33, 75.43, 101.84 degrees
Fractional positions:
Br 0.161 0.838 0.872
Br 0.839 0.162 0.128
Br 0.396 0.847 0.319
Br 0.750 0.551 0.067
Br 0.250 0.449 0.933
Br 0.604 0.153 0.681
Ga 0.612 0.434 0.689
Ga 0.388 0.566 0.311
Ga 0.939 0.426 0.270
Ga 0.507 0.114 0.345
Ga 0.061 0.574 0.730
Ga 0.493 0.886 0.655
Cl 0.385 0.322 0.385
Cl 0.615 0.678 0.615

Summary:
Crystal system ... triclinic
Uncorrected energy ... -19.73 eV per formula unit
ΔE_f (raw) ... -52 kJ/mol of atoms


# Ga2Br2Cl

A relaxed Ga2Br2Cl crystal (PBE, Alexandria).

Cell lengths 9.928, 9.361, 6.503 Å; angles 55.12, 100.16, 123.00 degrees
Fractional positions:
Cl 0.319 0.064 0.562
Cl 0.681 0.936 0.438
Ga 0.402 0.872 0.953
Ga 0.598 0.128 0.047
Ga 0.496 0.269 0.168
Ga 0.504 0.731 0.832
Br 0.684 0.614 0.116
Br 0.148 0.599 0.229
Br 0.316 0.386 0.884
Br 0.852 0.401 0.771

Summary:
Crystal system ... triclinic
Uncorrected energy ... -14.99 eV per formula unit
ΔE_f (raw) ... -72 kJ/mol of atoms


# Ga4Br5Cl2

A relaxed Ga4Br5Cl2 crystal (PBE, Alexandria).

Cell lengths 8.076, 6.791, 12.556 Å; angles 80.86, 72.90, 39.64 degrees
Fractional positions:
Cl 0.131 0.322 0.629
Cl 0.869 0.678 0.371
Ga 0.559 0.727 0.332
Ga 0.244 0.223 0.239
Ga 0.756 0.777 0.761
Ga 0.441 0.273 0.668
Br 0.582 0.659 0.898
Br 0.418 0.341 0.102
Br 0.056 0.724 0.825
Br 0.944 0.276 0.175
Br 0.500 0.500 0.500

Summary:
Crystal system ... triclinic
Uncorrected energy ... -31.95 eV per formula unit
ΔE_f (raw) ... -68 kJ/mol of atoms


# Ga3Br2Cl3

A relaxed Ga3Br2Cl3 crystal (PBE, Alexandria).

Cell lengths 3.509, 7.165, 20.935 Å; angles 90.00, 90.00, 104.18 degrees
Fractional positions:
Br 0.849 0.698 0.580
Br 0.849 0.698 0.920
Br 0.151 0.302 0.080
Br 0.151 0.302 0.420
Cl 0.916 0.831 0.396
Cl 0.439 0.878 0.750
Cl 0.561 0.122 0.250
Cl 0.084 0.169 0.604
Cl 0.916 0.831 0.104
Cl 0.084 0.169 0.896
Ga 0.522 0.044 0.442
Ga 0.399 0.798 0.250
Ga 0.601 0.202 0.750
Ga 0.478 0.956 0.558
Ga 0.478 0.956 0.942
Ga 0.522 0.044 0.058

Summary:
Crystal system ... orthorhombic
Uncorrected energy ... -23.52 eV per formula unit
ΔE_f (raw) ... -67 kJ/mol of atoms


# GaBr2Cl8

A relaxed GaBr2Cl8 crystal (PBE, Alexandria).

Cell lengths 6.925, 7.289, 9.074 Å; angles 89.54, 91.78, 116.52 degrees
Fractional positions:
Cl 0.660 0.327 0.033
Cl 0.102 0.993 0.082
Cl 0.340 0.673 0.967
Cl 0.112 0.304 0.486
Cl 0.898 0.007 0.918
Cl 0.551 0.030 0.728
Cl 0.449 0.970 0.272
Cl 0.888 0.696 0.514
Br 0.269 0.615 0.380
Br 0.731 0.385 0.620
Ga 0.500 0.000 0.000

Summary:
Crystal system ... triclinic
Uncorrected energy ... -24.45 eV per formula unit
ΔE_f (raw) ... -29 kJ/mol of atoms


# GaBrCl2

A relaxed GaBrCl2 crystal (PBE, Alexandria).

Cell lengths 5.695, 6.463, 16.023 Å; angles 89.97, 90.00, 90.01 degrees
Fractional positions:
Br 0.251 0.467 0.250
Br 0.249 0.967 0.750
Br 0.749 0.533 0.750
Br 0.751 0.033 0.250
Cl 0.215 0.028 0.405
Cl 0.714 0.973 0.904
Cl 0.286 0.027 0.096
Cl 0.214 0.527 0.596
Cl 0.785 0.972 0.595
Cl 0.786 0.473 0.404
Cl 0.715 0.472 0.095
Cl 0.285 0.528 0.905
Ga 0.000 0.750 0.658
Ga 0.500 0.750 0.842
Ga 0.500 0.250 0.158
Ga 0.000 0.250 0.342

Summary:
Crystal system ... monoclinic
Uncorrected energy ... -12.37 eV per formula unit
ΔE_f (raw) ... -96 kJ/mol of atoms


# Ga2GeBr6Cl2

A relaxed Ga2GeBr6Cl2 crystal (PBE, Alexandria).

Cell lengths 6.855, 6.855, 9.881 Å; angles 90.00, 90.00, 120.00 degrees
Fractional positions:
Ge 0.000 0.000 0.000
Cl 0.333 0.667 0.530
Cl 0.667 0.333 0.470
Br 0.003 0.664 0.830
Br 0.664 0.662 0.170
Br 0.997 0.336 0.170
Br 0.336 0.338 0.830
Br 0.338 0.003 0.170
Br 0.662 0.997 0.830
Ga 0.333 0.667 0.746
Ga 0.667 0.333 0.254

Summary:
Crystal system ... trigonal
Uncorrected energy ... -33.12 eV per formula unit
ΔE_f (raw) ... -76 kJ/mol of atoms


# HfGa2Br4Cl2

A relaxed HfGa2Br4Cl2 crystal (PBE, Alexandria).

Cell lengths 6.875, 7.469, 7.469 Å; angles 61.13, 71.82, 71.82 degrees
Fractional positions:
Ga 0.713 0.255 0.255
Ga 0.287 0.745 0.745
Cl 0.806 0.828 0.828
Cl 0.194 0.172 0.172
Hf 0.500 0.000 0.000
Br 0.674 0.842 0.328
Br 0.674 0.328 0.842
Br 0.326 0.158 0.672
Br 0.326 0.672 0.158

Summary:
Crystal system ... monoclinic
Uncorrected energy ... -36.63 eV per formula unit
ΔE_f (raw) ... -110 kJ/mol of atoms